A plane-wave DFT calculation with PBE was carried out for a relaxed structure of CrNi7Te2P2.

Output
Formation energy (no corrections), eV/atom: -0.190
D(E_F), states/eV/f.u.: 12.015

abc: 3.6553 3.6553 13.6366
angles: 82.23 82.23 89.99
Site moments in Bohr magnetons follow the coordinates.
Atoms (fractional coordinates):
Ni (0.9331, 0.4330, 0.1320)  0.05
Ni (0.6961, 0.6961, 0.6092)  0.00
Te (0.2078, 0.2078, 0.5856)  0.00
Ni (0.3039, 0.3039, 0.3908)  0.00
Cr (0.0000, 0.0000, 0.0000)  2.45
P (0.3855, 0.3855, 0.2265)  -0.01
Ni (0.5000, 0.5000, 0.0000)  0.11
Te (0.7922, 0.7922, 0.4144)  0.00
Ni (0.0669, 0.5670, 0.8680)  0.05
Ni (0.5670, 0.0669, 0.8680)  0.05
Ni (0.4330, 0.9331, 0.1320)  0.05
P (0.6145, 0.6145, 0.7735)  -0.01


A plane-wave DFT calculation with PBE was carried out for a relaxed structure of ThCrNiP2.

Output
D(E_F), states/eV/f.u.: 2.535
Energy relative to the elements, eV per formula unit: -4.48

abc: 3.7980 3.7980 6.1627
angles: 107.95 107.95 90.00
Atoms (fractional coordinates):
Ni (0.2500, 0.7500, 0.5000)
Th (0.0000, 0.0000, 0.0000)
Cr (0.7500, 0.2500, 0.5000)
P (0.3605, 0.3605, 0.7211)
P (0.6395, 0.6395, 0.2789)


A plane-wave DFT calculation with PBE was carried out for a relaxed structure of U2CrNi12P3.

Output
D(E_F), states/eV/f.u.: 12.712
Energy relative to the elements, eV per formula unit: -0.83

abc: 6.2387 6.2387 6.2387
angles: 83.13 83.13 83.13
Site moments in Bohr magnetons follow the coordinates.
Atoms (fractional coordinates):
Ni (0.6367, 0.0703, 0.6367)  -0.01
Ni (0.1853, 0.6674, 0.1853)  0.02
Ni (0.6367, 0.6367, 0.0703)  -0.01
U (0.6005, 0.6005, 0.6005)  -0.07
Ni (0.3633, 0.3633, 0.9297)  -0.01
Ni (0.9297, 0.3633, 0.3633)  -0.01
Ni (0.8147, 0.8147, 0.3326)  0.02
Ni (0.3633, 0.9297, 0.3633)  -0.01
P (0.0000, 0.0000, 0.5000)  -0.01
P (0.0000, 0.5000, 0.0000)  -0.01
U (0.3995, 0.3995, 0.3995)  -0.07
Ni (0.0703, 0.6367, 0.6367)  -0.01
Cr (0.0000, 0.0000, 0.0000)  3.41
Ni (0.3326, 0.8147, 0.8147)  0.02
Ni (0.6674, 0.1853, 0.1853)  0.02
Ni (0.1853, 0.1853, 0.6674)  0.02
P (0.5000, 0.0000, 0.0000)  -0.01
Ni (0.8147, 0.3326, 0.8147)  0.02